No. 1
The following is a DFT calculation (PBE) of an optimized crystal structure of VAs2Cl2.

abc: 3.461 3.461 22.627
angles: 90.00 90.00 90.00
Space group I4/mmm (No. 139)
Inequivalent atoms, fractional coordinates:
V 0.000 0.000 0.000 [2 per cell]
As 0.000 0.500 0.250 [4 per cell]
Cl 0.000 0.000 0.435 [4 per cell]

Results
energy above the most stable polymorph in this dataset	0.0	meV per atom
raw formation energy	-43	meV per atom
density of states at the Fermi level	3.9	states/eV/f.u.
magnetization	3.0	μB per formula unit

=====

No. 2
The following is a DFT calculation (PBE) of an optimized crystal structure of VAs2Cl.

abc: 6.625 6.625 6.625
angles: 90.00 90.00 90.00
Space group Fm-3m (No. 225)
Inequivalent atoms, fractional coordinates:
V 0.000 0.000 0.000 [4 per cell]
As 0.250 0.250 0.250 [8 per cell]
Cl 0.000 0.000 0.500 [4 per cell]

Results
energy above the most stable polymorph in this dataset	284.2	meV per atom
raw formation energy	546	meV per atom
density of states at the Fermi level	7.0	states/eV/f.u.
magnetization	2.8	μB per formula unit

=====

No. 3
The following is a DFT calculation (PBE) of an optimized crystal structure of VAs2Cl2.

abc: 8.349 8.349 2.995
angles: 90.00 90.00 90.00
Space group P4/mbm (No. 127)
Inequivalent atoms, fractional coordinates:
V 0.000 0.000 0.000 [2 per cell]
As 0.211 0.289 0.500 [4 per cell]
Cl 0.121 0.621 0.000 [4 per cell]

Results
energy above the most stable polymorph in this dataset	638.1	meV per atom
raw formation energy	596	meV per atom
density of states at the Fermi level	4.6	states/eV/f.u.
magnetization	2.9	μB per formula unit

=====

No. 4
The following is a DFT calculation (PBE) of an optimized crystal structure of V3AsCl.

abc: 4.245 4.245 4.245
angles: 90.00 90.00 90.00
Space group Pm-3m (No. 221)
Inequivalent atoms, fractional coordinates:
V 0.000 0.000 0.500 [3 per cell]
As 0.500 0.500 0.500 [1 per cell]
Cl 0.000 0.000 0.000 [1 per cell]

Results
energy above the most stable polymorph in this dataset	0.0	meV per atom
raw formation energy	490	meV per atom
density of states at the Fermi level	3.2	states/eV/f.u.
magnetization	0.0	μB per formula unit

=====

No. 5
The following is a DFT calculation (PBE) of an optimized crystal structure of VAs2Cl.

abc: 5.906 5.906 12.199
angles: 90.00 90.00 90.00
Space group I-42d (No. 122)
Inequivalent atoms, fractional coordinates:
V 0.000 0.000 0.000 [4 per cell]
As 0.166 0.250 0.125 [8 per cell]
Cl 0.000 0.000 0.500 [4 per cell]

Results
energy above the most stable polymorph in this dataset	0.0	meV per atom
raw formation energy	261	meV per atom
density of states at the Fermi level	2.6	states/eV/f.u.
magnetization	0.0	μB per formula unit

=====

No. 6
The following is a DFT calculation (PBE) of an optimized crystal structure of VAsCl3.

abc: 5.089 5.089 5.089
angles: 90.00 90.00 90.00
Space group Pm-3m (No. 221)
Inequivalent atoms, fractional coordinates:
V 0.000 0.000 0.000 [1 per cell]
As 0.500 0.500 0.500 [1 per cell]
Cl 0.000 0.500 0.500 [3 per cell]

Results
energy above the most stable polymorph in this dataset	524.6	meV per atom
raw formation energy	277	meV per atom
density of states at the Fermi level	10.5	states/eV/f.u.
magnetization	4.0	μB per formula unit

=====

No. 7
The following is a DFT calculation (PBE) of an optimized crystal structure of VAsWCl2.

abc: 4.876 4.876 5.094
angles: 90.00 90.00 90.00
Space group P4/mmm (No. 123)
Inequivalent atoms, fractional coordinates:
V 0.000 0.000 0.000 [1 per cell]
As 0.000 0.000 0.500 [1 per cell]
W 0.500 0.500 0.000 [1 per cell]
Cl 0.000 0.500 0.500 [2 per cell]

Results
raw formation energy	1668	meV per atom
density of states at the Fermi level	10.0	states/eV/f.u.
magnetization	4.3	μB per formula unit

=====

No. 8
The following is a DFT calculation (PBE) of an optimized crystal structure of AsWCl3.

abc: 5.005 7.487 7.459
angles: 90.00 91.99 90.00
Space group P2_1/m (No. 11)
Inequivalent atoms, fractional coordinates:
As 0.004 0.250 0.071 [2 per cell]
W 0.500 0.250 0.011 [2 per cell]
Cl 0.019 0.250 0.371 [2 per cell]
Cl 0.489 0.020 0.787 [4 per cell]

Results
energy above the most stable polymorph in this dataset	0.0	meV per atom
raw formation energy	-245	meV per atom
density of states at the Fermi level	1.2	states/eV/f.u.
magnetization	1.7	μB per formula unit